# LaMg3Ru PBE relaxed
data_LaMg3Ru
_space_group_name_H-M_alt 'P 1'
_space_group_IT_number 1
_cell_length_a 5.4355
_cell_length_b 6.1125
_cell_length_c 7.3397
_cell_angle_alpha 90.00
_cell_angle_beta 105.73
_cell_angle_gamma 90.00
loop_
_space_group_symop_operation_xyz
'x,y,z'
loop_
_atom_site_label
_atom_site_type_symbol
_atom_site_fract_x
_atom_site_fract_y
_atom_site_fract_z
La1 La 0.0861 0.2500 0.4105
La2 La 0.9139 0.7500 0.5895
Mg1 Mg 0.0280 0.2500 0.8880
Mg2 Mg 0.4846 0.5012 0.2058
Mg3 Mg 0.4846 0.9988 0.2058
Mg4 Mg 0.5154 0.0012 0.7942
Mg5 Mg 0.5154 0.4988 0.7942
Mg6 Mg 0.9720 0.7500 0.1120
Ru1 Ru 0.3137 0.7500 0.4731
Ru2 Ru 0.6863 0.2500 0.5269
# Density in g cm⁻³: 4.4
# Polymorph energy (0 for the lowest one) in eV/f.u.: 0.000
# V in Å³ per cell: 234.7
# Space-group type: P2_1/m, No. 11

# LaMgRu2 PBE relaxed
data_LaMgRu2
_space_group_name_H-M_alt 'P 1'
_space_group_IT_number 1
_cell_length_a 3.4002
_cell_length_b 3.4002
_cell_length_c 6.3869
_cell_angle_alpha 90.00
_cell_angle_beta 90.00
_cell_angle_gamma 90.00
loop_
_space_group_symop_operation_xyz
'x,y,z'
loop_
_atom_site_label
_atom_site_type_symbol
_atom_site_fract_x
_atom_site_fract_y
_atom_site_fract_z
La1 La 0.0000 0.0000 0.0000
Mg1 Mg 0.0000 0.0000 0.5000
Ru1 Ru 0.5000 0.5000 0.2666
Ru2 Ru 0.5000 0.5000 0.7334
# Uncorrected energy in eV/atom: -6.1485
# Density in g cm⁻³: 8.2
# V in Å³ per cell: 73.8
# Space-group type: P4/mmm, No. 123

# LaMgRu2 PBE relaxed
data_LaMgRu2
_space_group_name_H-M_alt 'P 1'
_space_group_IT_number 1
_cell_length_a 4.6776
_cell_length_b 4.6776
_cell_length_c 3.4144
_cell_angle_alpha 90.00
_cell_angle_beta 90.00
_cell_angle_gamma 90.00
loop_
_space_group_symop_operation_xyz
'x,y,z'
loop_
_atom_site_label
_atom_site_type_symbol
_atom_site_fract_x
_atom_site_fract_y
_atom_site_fract_z
La1 La 0.0000 0.0000 0.0000
Mg1 Mg 0.5000 0.5000 0.0000
Ru1 Ru 0.0000 0.5000 0.5000
Ru2 Ru 0.5000 0.0000 0.5000
# Uncorrected energy in eV/atom: -6.1809
# Density in g cm⁻³: 8.1
# V in Å³ per cell: 74.7
# Space-group type: P4/mmm, No. 123

# LaMg3Ru PBE relaxed
data_LaMg3Ru
_space_group_name_H-M_alt 'P 1'
_space_group_IT_number 1
_cell_length_a 5.0052
_cell_length_b 5.0052
_cell_length_c 5.0052
_cell_angle_alpha 90.00
_cell_angle_beta 90.00
_cell_angle_gamma 90.00
loop_
_space_group_symop_operation_xyz
'x,y,z'
loop_
_atom_site_label
_atom_site_type_symbol
_atom_site_fract_x
_atom_site_fract_y
_atom_site_fract_z
La1 La 0.0000 0.0000 0.0000
Mg1 Mg 0.0000 0.5000 0.5000
Mg2 Mg 0.5000 0.0000 0.5000
Mg3 Mg 0.5000 0.5000 0.0000
Ru1 Ru 0.5000 0.5000 0.5000
# Density in g cm⁻³: 4.1
# Polymorph energy (0 for the lowest one) in eV/f.u.: 0.949
# V in Å³ per cell: 125.4
# Space-group type: Pm-3m, No. 221

# La4MgRu PBE relaxed
data_La4MgRu
_space_group_name_H-M_alt 'P 1'
_space_group_IT_number 1
_cell_length_a 6.3458
_cell_length_b 6.3458
_cell_length_c 6.3458
_cell_angle_alpha 60.00
_cell_angle_beta 60.00
_cell_angle_gamma 60.00
loop_
_space_group_symop_operation_xyz
'x,y,z'
loop_
_atom_site_label
_atom_site_type_symbol
_atom_site_fract_x
_atom_site_fract_y
_atom_site_fract_z
La1 La 0.3764 0.3764 0.3764
La2 La 0.3764 0.3764 0.8709
La3 La 0.3764 0.8709 0.3764
La4 La 0.8709 0.3764 0.3764
Mg1 Mg 0.0000 0.0000 0.0000
Ru1 Ru 0.7500 0.7500 0.7500
# Density in g cm⁻³: 6.3
# Polymorph energy (0 for the lowest one) in eV/f.u.: 5.430
# V in Å³ per cell: 180.7
# Space-group type: F-43m, No. 216

# LaMg3Ru PBE relaxed
data_LaMg3Ru
_space_group_name_H-M_alt 'P 1'
_space_group_IT_number 1
_cell_length_a 10.0351
_cell_length_b 10.0351
_cell_length_c 10.0351
_cell_angle_alpha 148.37
_cell_angle_beta 148.37
_cell_angle_gamma 45.34
loop_
_space_group_symop_operation_xyz
'x,y,z'
loop_
_atom_site_label
_atom_site_type_symbol
_atom_site_fract_x
_atom_site_fract_y
_atom_site_fract_z
La1 La 0.2079 0.2079 0.0000
La2 La 0.7921 0.7921 0.0000
Mg1 Mg 0.3691 0.6180 0.7511
Mg2 Mg 0.3820 0.1332 0.7511
Mg3 Mg 0.3820 0.6309 0.2489
Mg4 Mg 0.5325 0.0325 0.5000
Mg5 Mg 0.8668 0.6180 0.2489
Mg6 Mg 0.9675 0.4675 0.5000
Ru1 Ru 0.2500 0.7500 0.5000
Ru2 Ru 0.5000 0.5000 0.0000
# Density in g cm⁻³: 3.8
# Polymorph energy (0 for the lowest one) in eV/f.u.: 0.958
# V in Å³ per cell: 277.1
# Space-group type: I-4m2, No. 119

# La4MgRu2 PBE relaxed
data_La4MgRu2
_space_group_name_H-M_alt 'P 1'
_space_group_IT_number 1
_cell_length_a 7.0420
_cell_length_b 7.7077
_cell_length_c 8.2392
_cell_angle_alpha 100.59
_cell_angle_beta 95.90
_cell_angle_gamma 105.00
loop_
_space_group_symop_operation_xyz
'x,y,z'
loop_
_atom_site_label
_atom_site_type_symbol
_atom_site_fract_x
_atom_site_fract_y
_atom_site_fract_z
La1 La 0.0000 0.0000 0.0000
La2 La 0.0221 0.5346 0.9576
La3 La 0.1711 0.4492 0.4049
La4 La 0.2161 0.9924 0.4438
La5 La 0.5524 0.7477 0.1730
La6 La 0.6329 0.2834 0.1834
La7 La 0.7480 0.1676 0.6137
La8 La 0.7952 0.6813 0.5740
Mg1 Mg 0.3623 0.3284 0.8107
Mg2 Mg 0.4234 0.8142 0.7805
Ru1 Ru 0.4964 0.3559 0.5195
Ru2 Ru 0.6940 0.6231 0.8779
Ru3 Ru 0.8839 0.0673 0.3098
Ru4 Ru 0.9209 0.6719 0.2423
# Uncorrected energy in eV/atom: -5.8784
# Density in g cm⁻³: 6.2
# V in Å³ per cell: 419.2
# Space-group type: P1, No. 1

# La2Mg2Ru PBE relaxed
data_La2Mg2Ru
_space_group_name_H-M_alt 'P 1'
_space_group_IT_number 1
_cell_length_a 6.9768
_cell_length_b 6.9768
_cell_length_c 6.9424
_cell_angle_alpha 107.56
_cell_angle_beta 107.56
_cell_angle_gamma 56.72
loop_
_space_group_symop_operation_xyz
'x,y,z'
loop_
_atom_site_label
_atom_site_type_symbol
_atom_site_fract_x
_atom_site_fract_y
_atom_site_fract_z
La1 La 0.0563 0.2373 0.1087
La2 La 0.2373 0.0563 0.6087
La3 La 0.7627 0.9437 0.3913
La4 La 0.9437 0.7627 0.8913
Mg1 Mg 0.3067 0.4941 0.5303
Mg2 Mg 0.4941 0.3067 0.0303
Mg3 Mg 0.5059 0.6933 0.9697
Mg4 Mg 0.6933 0.5059 0.4697
Ru1 Ru 0.2332 0.7668 0.2500
Ru2 Ru 0.7668 0.2332 0.7500
# Uncorrected energy in eV/atom: -4.6408
# Density in g cm⁻³: 5.3
# V in Å³ per cell: 265.4
# Space-group type: C2/c, No. 15